3
Lattice="4.1866 0.0000 0.0000 -2.0933 3.6257 0.0000 0.0000 0.0000 3.8885" Properties=species:S:1:pos:R:3 comment="SmGaCo, relaxed, DFT PBE" magmom_total_mub_per_fu=0.00 dft_energy_ha_per_atom=-0.1955 space_group="P-6m2 (187)" pbc="T T T"
Sm 0.0000 0.0000 0.0000
Ga 0.0000 2.4172 1.9443
Co 2.0933 1.2086 1.9443